No. 1
CsSrGa2 PBE-GGA optimized geometry; formation enthalpy at 0 K = 0.4 eV/f.u.; DOS at the Fermi energy = 1.13 states/eV/atom; space-group type = Fm-3m
1.0
0.0000 4.1298 4.1298
4.1298 0.0000 4.1298
4.1298 4.1298 0.0000
Cs Sr Ga
1 1 2
direct
0.5000 0.5000 0.5000
0.0000 0.0000 0.0000
0.2500 0.2500 0.2500
0.7500 0.7500 0.7500



No. 2
FeMo2Br PBE-GGA optimized geometry; relative energy among the computed polymorphs = 97 meV/atom; DOS at the Fermi energy = 0.83 states/eV/atom; space-group type = P4/mmm; ΔE_f (raw) = 0.540 eV per atom
1.0
-1.4947 -1.8279 -1.8353
1.8843 0.6863 -2.2182
4.0552 -5.1688 1.8454
Br Fe Mo
1 1 2
direct
0.5000 0.5000 0.2500
0.5000 0.5000 0.7500
0.0000 0.0000 0.9758
0.0000 0.0000 0.5242



No. 3
TcAs2PdSe PBE-GGA optimized geometry; relative energy among the computed polymorphs = 0 meV/atom; DOS at the Fermi energy = 1.12 states/eV/atom; space-group type = P4/mmm; ΔE_f (raw) = 0.608 eV per atom
1.0
-2.2506 -0.4162 -4.1100
4.1251 -0.4783 -2.2104
-0.2394 -5.0190 0.6393
As Se Tc Pd
2 1 1 1
direct
0.0000 0.5000 0.0000
0.5000 0.0000 0.0000
0.0000 0.0000 0.5000
0.0000 0.0000 0.0000
0.5000 0.5000 0.5000



No. 4
LaScV2 PBE-GGA optimized geometry; formation enthalpy at 0 K = 3.5 eV/f.u.; relative energy among the computed polymorphs = 391 meV/atom; DOS at the Fermi energy = 1.91 states/eV/atom; space-group type = I-42d
1.0
7.7696 0.0000 0.0000
0.0000 7.7696 0.0000
3.8848 3.8848 3.0041
Sc La V
2 2 4
direct
0.5000 0.5000 0.0000
0.2500 0.7500 0.5000
0.0000 0.0000 0.0000
0.7500 0.2500 0.5000
0.6131 0.1250 0.2500
0.1369 0.6250 0.2500
0.3750 0.3869 0.7500
0.8750 0.8631 0.7500



No. 5
La6MgHg5 PBE-GGA optimized geometry; formation enthalpy at 0 K = -5.2 eV/f.u.; DOS at the Fermi energy = 1.21 states/eV/atom; space-group type = Immm
1.0
5.3026 0.0224 -1.5475
-1.0779 6.9011 -3.5936
-0.0817 0.5088 9.5864
Mg Hg La
1 5 6
direct
0.0000 0.0000 0.0000
0.6561 0.1561 0.3123
0.3342 0.3342 0.6685
0.0000 0.5000 0.0000
0.6658 0.6658 0.3315
0.3439 0.8439 0.6877
0.8305 0.5782 0.6610
0.8305 0.0828 0.6610
0.5000 0.7428 0.0000
0.5000 0.2572 0.0000
0.1695 0.9172 0.3390
0.1695 0.4218 0.3390



No. 6
PrAl6Ag4 PBE-GGA optimized geometry; formation enthalpy at 0 K = -0.5 eV/f.u.; DOS at the Fermi energy = 0.30 states/eV/atom; space-group type = I-42m
1.0
6.8210 -0.1814 -0.2668
-3.3146 5.9643 0.2668
-3.3146 -1.9448 5.6447
Pr Al Ag
1 6 4
direct
0.0000 0.0000 0.0000
0.0000 0.8920 0.4741
0.0000 0.4741 0.8920
0.5821 0.1080 0.1080
0.5000 0.0000 0.5000
0.4179 0.5259 0.5259
0.5000 0.5000 0.0000
0.0000 0.2399 0.5664
0.6735 0.4336 0.4336
0.0000 0.5664 0.2399
0.3265 0.7601 0.7601



What is the formula in the first record?
CsSrGa2



What is the DOS at the Fermi energy in the first record?
1.13 states/eV/atom



What is the formula in the fifth record?
La6MgHg5



Among the records above, which one has the highest DOS at the Fermi energy?
LaScV2